This record from the Alexandria database describes a relaxed structure of TlOs2Au. The functional is GGA-PBE.

Values from the calculation:
* Fermi-level density of states: 3.09 states/eV/f.u.
* energy of formation from the pure elements: 94.11 kJ/mol of atoms
* final energy: -6.0504 eV per atom
* symmetry: No. 119
* volume: 16.95 Å³ per atom

Cell: 4.944 4.944 4.944 Å, 130.77 130.77 72.18°
Fractional positions:
Au 0.750 0.250 0.500
Os 0.000 0.000 0.000
Os 0.250 0.750 0.500
Tl 0.500 0.500 0.000